## TaCuHg2 (PBE)

Data for a relaxed structure of TaCuHg2.

## Properties
DOS at the Fermi energy = 1.20 states/eV/f.u.
Uncorrected energy = -3.4245 eV/atom
Space-group type = I-42d (122)

The structure in POSCAR format:
```
TaCuHg2
1.0
-3.697 3.697 2.893
3.697 -3.697 2.893
3.697 3.697 -2.893
Ta Cu Hg
2 2 4
direct
0.000 0.000 0.000
0.750 0.250 0.500
0.250 0.750 0.500
0.500 0.500 0.000
0.148 0.125 0.523
0.375 0.852 0.977
0.602 0.625 0.477
0.875 0.398 0.023
```